1.
{"formula": "MgIn3Mo", "functional": "GGA-PBE", "state": "optimized geometry", "lattice": [[5.3017, 0.0000, 0.0000], [0.0000, 5.3017, 0.0000], [0.0000, 0.0000, 5.3017]], "species": ["Mg", "In", "In", "In", "Mo"], "fractional_positions": [[0.0000, 0.0000, 0.0000], [0.0000, 0.5000, 0.5000], [0.5000, 0.0000, 0.5000], [0.5000, 0.5000, 0.0000], [0.5000, 0.5000, 0.5000]], "sg": "No. 221", "volume_a3_per_cell": 149.0, "dft_energy_ev_per_atom": -3.5535, "de_polymorph_mev_per_atom": 0, "ef_ev_per_atom": 0.57}

=====

2.
{"formula": "AcPm3Ru2", "functional": "GGA-PBE", "state": "optimized geometry", "lattice": [[8.0200, -2.6199, 0.0000], [8.0200, 2.6199, 0.0000], [-3.3755, 0.0000, 7.7581]], "species": ["Ac", "Ac", "Pm", "Pm", "Pm", "Pm", "Pm", "Pm", "Ru", "Ru", "Ru", "Ru"], "fractional_positions": [[0.1278, 0.1278, 0.2163], [0.8722, 0.8722, 0.7837], [0.0731, 0.0731, 0.7281], [0.3167, 0.3167, 0.0119], [0.3705, 0.3705, 0.4881], [0.6295, 0.6295, 0.5119], [0.6833, 0.6833, 0.9881], [0.9269, 0.9269, 0.2719], [0.2272, 0.2272, 0.6346], [0.4952, 0.4952, 0.8428], [0.5048, 0.5048, 0.1572], [0.7728, 0.7728, 0.3654]], "sg": "No. 12", "volume_a3_per_cell": 326.0, "dft_energy_ev_per_atom": -6.2090, "ef_ev_per_atom": -0.06}